[1]
{"formula": "LaV2H2", "functional": "PBE", "state": "relaxed", "cell": [[3.5349, 0.0000, 0.0000], [0.0000, 3.5349, 0.0000], [1.7674, 1.7674, 5.4548]], "species": ["V", "V", "H", "H", "La"], "frac_coords": [[0.7500, 0.2500, 0.5000], [0.2500, 0.7500, 0.5000], [0.3429, 0.3429, 0.3143], [0.6571, 0.6571, 0.6857], [0.0000, 0.0000, 0.0000]], "energy_ev_per_fu": -29.0, "polymorph_energy_ev_per_atom": 0.1118, "dos_at_fermi_per_ev_atom": 0.7259}

=====

[2]
{"formula": "AgPtW2", "functional": "PBE", "state": "relaxed", "cell": [[5.0296, -0.0008, -0.0077], [4.2751, 2.6496, -0.0077], [0.8248, 0.2348, 4.8664]], "species": ["Ag", "W", "W", "Pt"], "frac_coords": [[0.2500, 0.2500, 0.2500], [0.4921, 0.4921, 0.5087], [0.0079, 0.0079, 0.9913], [0.7500, 0.7500, 0.7500]], "formation_enthalpy_0k_ev_per_atom": 0.31, "energy_ev_per_fu": -33.6, "polymorph_energy_ev_per_atom": 0.1697, "dos_at_fermi_per_ev_atom": 0.8788}

=====

[3]
{"formula": "Rb4NpSe4", "functional": "PBE", "state": "relaxed", "cell": [[-0.5231, 1.1885, 8.1599], [-3.4833, -7.4429, 0.8608], [8.3371, 0.2581, -3.6865]], "species": ["Se", "Se", "Se", "Se", "Rb", "Rb", "Rb", "Rb", "Np"], "frac_coords": [[0.9174, 0.3013, 0.2187], [0.6987, 0.6987, 0.7813], [0.0826, 0.0826, 0.7813], [0.3013, 0.9174, 0.2187], [0.5000, 0.0000, 0.0000], [0.7011, 0.7011, 0.4023], [0.2989, 0.2989, 0.5977], [0.0000, 0.5000, 0.0000], [0.0000, 0.0000, 0.0000]], "energy_ev_per_fu": -40.0, "formation_energy_uncorrected_ev_per_atom": -1.03, "dos_at_fermi_per_ev_atom": 0.8065}

=====

[4]
{"formula": "RbSr2ScO4", "functional": "PBE", "state": "relaxed", "cell": [[7.3009, -0.1674, 0.0173], [-0.1725, 7.3008, 0.0173], [-3.5000, -3.5024, 5.0256]], "species": ["O", "O", "O", "O", "O", "O", "O", "O", "Sr", "Sr", "Sr", "Sr", "Sc", "Sc", "Rb", "Rb"], "frac_coords": [[0.7415, 0.7582, 0.5084], [0.2581, 0.2415, 0.0084], [0.7419, 0.7585, 0.9916], [0.6715, 0.2833, 0.4774], [0.3285, 0.7167, 0.5226], [0.2585, 0.2419, 0.4916], [0.7833, 0.1715, 0.9774], [0.2167, 0.8285, 0.0226], [0.5000, 0.5000, 0.0000], [0.0000, 0.0000, 0.5000], [0.5000, 0.0000, 0.0000], [0.5000, 0.0000, 0.5000], [0.0000, 0.0000, 0.0000], [0.5000, 0.5000, 0.5000], [0.0000, 0.5000, 0.0000], [0.0000, 0.5000, 0.5000]], "energy_ev_per_fu": -50.0, "formation_energy_uncorrected_ev_per_atom": -2.44, "dos_at_fermi_per_ev_atom": 0.0000}

=====

[5]
{"formula": "La8Pd3Br4Cl", "functional": "PBE", "state": "relaxed", "cell": [[8.4680, 0.0000, 0.0000], [0.0000, 9.0426, 0.3996], [-4.2340, -4.2288, 5.9916]], "species": ["Cl", "La", "La", "La", "La", "La", "La", "La", "La", "Br", "Br", "Br", "Br", "Pd", "Pd", "Pd"], "frac_coords": [[0.0000, 0.5000, 0.0000], [0.7603, 0.2767, 0.0166], [0.2563, 0.2767, 0.0166], [0.7602, 0.2767, 0.5204], [0.2398, 0.7233, 0.4796], [0.2397, 0.7233, 0.9834], [0.7437, 0.7233, 0.9834], [0.2660, 0.2978, 0.5320], [0.7340, 0.7022, 0.4680], [0.0000, 0.0000, 0.0000], [0.5000, 0.0000, 0.0000], [0.5000, 0.0000, 0.5000], [0.0000, 0.0000, 0.5000], [0.0000, 0.5000, 0.5000], [0.5000, 0.5000, 0.5000], [0.5000, 0.5000, 0.0000]], "energy_ev_per_fu": -82.0, "formation_energy_uncorrected_ev_per_atom": -1.15, "dos_at_fermi_per_ev_atom": 0.8923}

=====

Computed values of V (unit: A^3/atom) for the preceding records, in sequence: 13.632, 16.222, 53.115, 16.790, 29.569.